(1)
Below is a relaxed structure of LiGdIn, with properties calculated at the PBE level.

N(E_F): 0.536 states/eV per atom

extended XYZ file:
```
3
Lattice="4.959 0.000 0.000 -2.479 4.294 0.000 0.000 0.000 3.420" Properties=species:S:1:pos:R:3 pbc="T T T"
Li 0.000 0.000 0.000
Gd 0.000 2.863 1.710
In 2.479 1.431 0.000
```



(2)
Below is a relaxed structure of LiGdIn2, with properties calculated at the PBE level.

N(E_F): 0.389 states/eV per atom

extended XYZ file:
```
4
Lattice="5.036 0.000 0.000 0.000 5.036 0.000 0.000 0.000 3.889" Properties=species:S:1:pos:R:3 pbc="T T T"
Li 0.000 0.000 0.000
Gd 2.518 2.518 0.000
In 0.000 2.518 1.944
In 2.518 0.000 1.944
```



(3)
Below is a relaxed structure of LiGdIn2, with properties calculated at the PBE level.

N(E_F): 0.468 states/eV per atom

extended XYZ file:
```
4
Lattice="3.527 0.000 0.000 0.000 3.527 0.000 0.000 0.000 7.463" Properties=species:S:1:pos:R:3 pbc="T T T"
Li 0.000 0.000 0.000
Gd 0.000 0.000 3.732
In 1.763 1.763 1.550
In 1.763 1.763 5.914
```



(4)
Below is a relaxed structure of LiGdMgIn, with properties calculated at the PBE level.

N(E_F): 0.981 states/eV per atom

extended XYZ file:
```
4
Lattice="0.000 3.602 3.602 3.602 0.000 3.602 3.602 3.602 0.000" Properties=species:S:1:pos:R:3 pbc="T T T"
Li 0.000 0.000 0.000
Gd 5.403 5.403 5.403
Mg 1.801 1.801 1.801
In 3.602 3.602 3.602
```



(5)
Below is a relaxed structure of LiGdMnIn, with properties calculated at the PBE level.

N(E_F): 0.969 states/eV per atom

extended XYZ file:
```
4
Lattice="0.000 3.448 3.448 3.448 0.000 3.448 3.448 3.448 0.000" Properties=species:S:1:pos:R:3 pbc="T T T"
Li 0.000 0.000 0.000
Gd 5.171 5.171 5.171
Mn 3.448 3.448 3.448
In 1.724 1.724 1.724
```



(6)
Below is a relaxed structure of NaLiGdIn, with properties calculated at the PBE level.

N(E_F): 0.621 states/eV per atom

extended XYZ file:
```
4
Lattice="0.000 3.686 3.686 3.686 0.000 3.686 3.686 3.686 0.000" Properties=species:S:1:pos:R:3 pbc="T T T"
Na 0.000 0.000 0.000
Li 5.529 5.529 5.529
Gd 1.843 1.843 1.843
In 3.686 3.686 3.686
```



(7)
Below is a relaxed structure of LiGdInNi, with properties calculated at the PBE level.

N(E_F): 1.044 states/eV per atom

extended XYZ file:
```
4
Lattice="0.000 3.340 3.340 3.340 0.000 3.340 3.340 3.340 0.000" Properties=species:S:1:pos:R:3 pbc="T T T"
Li 0.000 0.000 0.000
Gd 5.010 5.010 5.010
In 1.670 1.670 1.670
Ni 3.340 3.340 3.340
```



(8)
Below is a relaxed structure of LiGdInPt, with properties calculated at the PBE level.

N(E_F): 1.019 states/eV per atom

extended XYZ file:
```
4
Lattice="0.000 3.413 3.413 3.413 0.000 3.413 3.413 3.413 0.000" Properties=species:S:1:pos:R:3 pbc="T T T"
Li 0.000 0.000 0.000
Gd 1.706 1.706 1.706
In 5.119 5.119 5.119
Pt 3.413 3.413 3.413
```



(9)
Below is a relaxed structure of LiGdInRh, with properties calculated at the PBE level.

N(E_F): 0.969 states/eV per atom

extended XYZ file:
```
4
Lattice="0.000 3.387 3.387 3.387 0.000 3.387 3.387 3.387 0.000" Properties=species:S:1:pos:R:3 pbc="T T T"
Li 0.000 0.000 0.000
Gd 5.081 5.081 5.081
In 1.694 1.694 1.694
Rh 3.387 3.387 3.387
```



(10)
Below is a relaxed structure of LiGdInRu, with properties calculated at the PBE level.

N(E_F): 0.477 states/eV per atom

extended XYZ file:
```
4
Lattice="0.000 3.380 3.380 3.380 0.000 3.380 3.380 3.380 0.000" Properties=species:S:1:pos:R:3 pbc="T T T"
Li 0.000 0.000 0.000
Gd 1.690 1.690 1.690
In 5.071 5.071 5.071
Ru 3.380 3.380 3.380
```



(11)
Below is a relaxed structure of LiGdInSn, with properties calculated at the PBE level.

N(E_F): 0.637 states/eV per atom

extended XYZ file:
```
4
Lattice="0.000 3.666 3.666 3.666 0.000 3.666 3.666 3.666 0.000" Properties=species:S:1:pos:R:3 pbc="T T T"
Li 0.000 0.000 0.000
Gd 3.666 3.666 3.666
In 5.500 5.500 5.500
Sn 1.833 1.833 1.833
```



(12)
Below is a relaxed structure of SrLiGdIn, with properties calculated at the PBE level.

N(E_F): 1.046 states/eV per atom

extended XYZ file:
```
4
Lattice="0.000 3.921 3.921 3.921 0.000 3.921 3.921 3.921 0.000" Properties=species:S:1:pos:R:3 pbc="T T T"
Sr 0.000 0.000 0.000
Li 1.960 1.960 1.960
Gd 3.921 3.921 3.921
In 5.881 5.881 5.881
```



(13)
Below is a relaxed structure of LiTbGdIn, with properties calculated at the PBE level.

N(E_F): 0.780 states/eV per atom

extended XYZ file:
```
4
Lattice="0.000 3.749 3.749 3.749 0.000 3.749 3.749 3.749 0.000" Properties=species:S:1:pos:R:3 pbc="T T T"
Li 0.000 0.000 0.000
Tb 5.624 5.624 5.624
Gd 1.875 1.875 1.875
In 3.749 3.749 3.749
```



(14)
Below is a relaxed structure of LiGdTlIn, with properties calculated at the PBE level.

N(E_F): 0.905 states/eV per atom

extended XYZ file:
```
4
Lattice="0.000 3.664 3.664 3.664 0.000 3.664 3.664 3.664 0.000" Properties=species:S:1:pos:R:3 pbc="T T T"
Li 0.000 0.000 0.000
Gd 1.832 1.832 1.832
Tl 3.664 3.664 3.664
In 5.495 5.495 5.495
```



(15)
Below is a relaxed structure of LiGdTmIn, with properties calculated at the PBE level.

N(E_F): 0.707 states/eV per atom

extended XYZ file:
```
4
Lattice="0.000 3.716 3.716 3.716 0.000 3.716 3.716 3.716 0.000" Properties=species:S:1:pos:R:3 pbc="T T T"
Li 0.000 0.000 0.000
Gd 5.574 5.574 5.574
Tm 1.858 1.858 1.858
In 3.716 3.716 3.716
```



(16)
Below is a relaxed structure of GdLuIn2, with properties calculated at the PBE level.

N(E_F): 0.693 states/eV per atom

extended XYZ file:
```
4
Lattice="0.000 3.746 3.746 3.746 0.000 3.746 3.746 3.746 0.000" Properties=species:S:1:pos:R:3 pbc="T T T"
Gd 0.000 0.000 0.000
Lu 3.746 3.746 3.746
In 1.873 1.873 1.873
In 5.619 5.619 5.619
```



(17)
Below is a relaxed structure of GdLuIn2, with properties calculated at the PBE level.

N(E_F): 0.495 states/eV per atom

extended XYZ file:
```
4
Lattice="3.514 0.000 0.000 0.000 3.514 0.000 0.000 0.000 8.488" Properties=species:S:1:pos:R:3 pbc="T T T"
Gd 0.000 0.000 0.000
Lu 0.000 0.000 4.244
In 1.757 1.757 2.186
In 1.757 1.757 6.302
```



(18)
Below is a relaxed structure of GdLuIn, with properties calculated at the PBE level.

N(E_F): 1.187 states/eV per atom

extended XYZ file:
```
3
Lattice="-1.776 1.776 6.725 1.776 -1.776 6.725 1.776 1.776 -6.725" Properties=species:S:1:pos:R:3 pbc="T T T"
Gd 0.000 0.000 0.000
Lu 0.000 0.000 4.210
In 0.000 0.000 8.896
```



(19)
Below is a relaxed structure of GdLuIn2, with properties calculated at the PBE level.

N(E_F): 0.666 states/eV per atom

extended XYZ file:
```
4
Lattice="4.867 0.000 0.000 0.000 4.867 0.000 0.000 0.000 4.415" Properties=species:S:1:pos:R:3 pbc="T T T"
Gd 0.000 0.000 0.000
Lu 2.433 2.433 0.000
In 0.000 2.433 2.208
In 2.433 0.000 2.208
```



(20)
Below is a relaxed structure of GdLuIn, with properties calculated at the PBE level.

N(E_F): 1.093 states/eV per atom

extended XYZ file:
```
3
Lattice="5.208 0.000 0.000 -2.604 4.510 0.000 0.000 0.000 3.626" Properties=species:S:1:pos:R:3 pbc="T T T"
Gd 0.000 0.000 0.000
Lu 2.604 1.503 1.992
In 0.000 3.007 1.348
```



(21)
Below is a relaxed structure of GdLuMgIn, with properties calculated at the PBE level.

N(E_F): 0.978 states/eV per atom

extended XYZ file:
```
4
Lattice="0.000 3.739 3.739 3.739 0.000 3.739 3.739 3.739 0.000" Properties=species:S:1:pos:R:3 pbc="T T T"
Gd 0.000 0.000 0.000
Lu 3.739 3.739 3.739
Mg 1.870 1.870 1.870
In 5.609 5.609 5.609
```



(22)
Below is a relaxed structure of GdLuInPd, with properties calculated at the PBE level.

N(E_F): 0.849 states/eV per atom

extended XYZ file:
```
4
Lattice="0.000 3.631 3.631 3.631 0.000 3.631 3.631 3.631 0.000" Properties=species:S:1:pos:R:3 pbc="T T T"
Gd 0.000 0.000 0.000
Lu 3.631 3.631 3.631
In 1.816 1.816 1.816
Pd 5.447 5.447 5.447
```



(23)
Below is a relaxed structure of GdLuPuIn, with properties calculated at the PBE level.

N(E_F): 3.499 states/eV per atom

extended XYZ file:
```
4
Lattice="0.000 3.791 3.791 3.791 0.000 3.791 3.791 3.791 0.000" Properties=species:S:1:pos:R:3 pbc="T T T"
Gd 0.000 0.000 0.000
Lu 3.791 3.791 3.791
Pu 1.895 1.895 1.895
In 5.686 5.686 5.686
```



(24)
Below is a relaxed structure of GdLuInRh, with properties calculated at the PBE level.

N(E_F): 0.497 states/eV per atom

extended XYZ file:
```
4
Lattice="0.000 3.585 3.585 3.585 0.000 3.585 3.585 3.585 0.000" Properties=species:S:1:pos:R:3 pbc="T T T"
Gd 0.000 0.000 0.000
Lu 3.585 3.585 3.585
In 1.793 1.793 1.793
Rh 5.378 5.378 5.378
```



(25)
Below is a relaxed structure of SmGdLuIn, with properties calculated at the PBE level.

N(E_F): 1.333 states/eV per atom

extended XYZ file:
```
4
Lattice="0.000 3.865 3.865 3.865 0.000 3.865 3.865 3.865 0.000" Properties=species:S:1:pos:R:3 pbc="T T T"
Sm 0.000 0.000 0.000
Gd 3.865 3.865 3.865
Lu 1.932 1.932 1.932
In 5.797 5.797 5.797
```



(26)
Below is a relaxed structure of GdLuInTc, with properties calculated at the PBE level.

N(E_F): 0.821 states/eV per atom

extended XYZ file:
```
4
Lattice="0.000 3.568 3.568 3.568 0.000 3.568 3.568 3.568 0.000" Properties=species:S:1:pos:R:3 pbc="T T T"
Gd 0.000 0.000 0.000
Lu 3.568 3.568 3.568
In 1.784 1.784 1.784
Tc 5.352 5.352 5.352
```



(27)
Below is a relaxed structure of GdLuThIn, with properties calculated at the PBE level.

N(E_F): 1.497 states/eV per atom

extended XYZ file:
```
4
Lattice="0.000 3.860 3.860 3.860 0.000 3.860 3.860 3.860 0.000" Properties=species:S:1:pos:R:3 pbc="T T T"
Gd 0.000 0.000 0.000
Lu 3.860 3.860 3.860
Th 1.930 1.930 1.930
In 5.790 5.790 5.790
```



(28)
Below is a relaxed structure of GdLuTlIn, with properties calculated at the PBE level.

N(E_F): 0.711 states/eV per atom

extended XYZ file:
```
4
Lattice="0.000 3.766 3.766 3.766 0.000 3.766 3.766 3.766 0.000" Properties=species:S:1:pos:R:3 pbc="T T T"
Gd 0.000 0.000 0.000
Lu 3.766 3.766 3.766
Tl 1.883 1.883 1.883
In 5.649 5.649 5.649
```



(29)
Below is a relaxed structure of GdYLuIn, with properties calculated at the PBE level.

N(E_F): 1.372 states/eV per atom

extended XYZ file:
```
4
Lattice="0.000 3.843 3.843 3.843 0.000 3.843 3.843 3.843 0.000" Properties=species:S:1:pos:R:3 pbc="T T T"
Gd 0.000 0.000 0.000
Y 3.843 3.843 3.843
Lu 1.922 1.922 1.922
In 5.765 5.765 5.765
```



(30)
Below is a relaxed structure of GdLuZnIn, with properties calculated at the PBE level.

N(E_F): 0.830 states/eV per atom

extended XYZ file:
```
4
Lattice="0.000 3.662 3.662 3.662 0.000 3.662 3.662 3.662 0.000" Properties=species:S:1:pos:R:3 pbc="T T T"
Gd 0.000 0.000 0.000
Lu 3.662 3.662 3.662
Zn 1.831 1.831 1.831
In 5.493 5.493 5.493
```



(31)
Below is a relaxed structure of GdLuZrIn, with properties calculated at the PBE level.

N(E_F): 1.007 states/eV per atom

extended XYZ file:
```
4
Lattice="0.000 3.754 3.754 3.754 0.000 3.754 3.754 3.754 0.000" Properties=species:S:1:pos:R:3 pbc="T T T"
Gd 0.000 0.000 0.000
Lu 3.754 3.754 3.754
Zr 1.877 1.877 1.877
In 5.631 5.631 5.631
```



Number 1: E_form -0.347 eV/atom, energy -6.59 eV per atom, calculated volume 24.3 Å³/atom. Number 2: E_form -0.382 eV/atom, energy -5.75 eV per atom, calculated volume 24.7 Å³/atom. Number 3: E_form -0.414 eV/atom, energy -5.78 eV per atom, calculated volume 23.2 Å³/atom. Number 4: E_form -0.271 eV/atom, energy -5.35 eV per atom, calculated volume 23.4 Å³/atom. Number 5: E_form -0.067 eV/atom, energy -7.04 eV per atom, calculated volume 20.5 Å³/atom. Number 6: E_form -0.126 eV/atom, energy -5.14 eV per atom, calculated volume 25.0 Å³/atom. Number 7: E_form -0.348 eV/atom, energy -6.48 eV per atom, calculated volume 18.6 Å³/atom. Number 8: E_form -0.742 eV/atom, energy -6.93 eV per atom, calculated volume 19.9 Å³/atom. Number 9: E_form -0.527 eV/atom, energy -7.05 eV per atom, calculated volume 19.4 Å³/atom. Number 10: E_form -0.258 eV/atom, energy -7.26 eV per atom, calculated volume 19.3 Å³/atom. Number 11: E_form -0.422 eV/atom, energy -6.11 eV per atom, calculated volume 24.6 Å³/atom. Number 12: E_form -0.206 eV/atom, energy -5.31 eV per atom, calculated volume 30.1 Å³/atom. Number 13: E_form -0.276 eV/atom, energy -6.12 eV per atom, calculated volume 26.4 Å³/atom. Number 14: E_form -0.193 eV/atom, energy -5.47 eV per atom, calculated volume 24.6 Å³/atom. Number 15: E_form -0.266 eV/atom, energy -6.07 eV per atom, calculated volume 25.7 Å³/atom. Number 16: E_form -0.443 eV/atom, energy -6.46 eV per atom, calculated volume 26.3 Å³/atom. Number 17: E_form -0.454 eV/atom, energy -6.47 eV per atom, calculated volume 26.2 Å³/atom. Number 18: E_form -0.305 eV/atom, energy -7.42 eV per atom, calculated volume 28.3 Å³/atom. Number 19: E_form -0.446 eV/atom, energy -6.47 eV per atom, calculated volume 26.1 Å³/atom. Number 20: E_form -0.228 eV/atom, energy -7.34 eV per atom, calculated volume 28.4 Å³/atom. Number 21: E_form -0.302 eV/atom, energy -6.04 eV per atom, calculated volume 26.1 Å³/atom. Number 22: E_form -0.600 eV/atom, energy -7.23 eV per atom, calculated volume 23.9 Å³/atom. Number 23: E_form -0.041 eV/atom, energy -8.96 eV per atom, calculated volume 27.2 Å³/atom. Number 24: E_form -0.561 eV/atom, energy -7.73 eV per atom, calculated volume 23.0 Å³/atom. Number 25: E_form -0.170 eV/atom, energy -6.69 eV per atom, calculated volume 28.9 Å³/atom. Number 26: E_form -0.150 eV/atom, energy -8.08 eV per atom, calculated volume 22.7 Å³/atom. Number 27: E_form -0.020 eV/atom, energy -7.21 eV per atom, calculated volume 28.8 Å³/atom. Number 28: E_form -0.378 eV/atom, energy -6.30 eV per atom, calculated volume 26.7 Å³/atom. Number 29: E_form -0.170 eV/atom, energy -7.12 eV per atom, calculated volume 28.4 Å³/atom. Number 30: E_form -0.385 eV/atom, energy -6.04 eV per atom, calculated volume 24.6 Å³/atom. Number 31: E_form -0.047 eV/atom, energy -7.52 eV per atom, calculated volume 26.5 Å³/atom.